This record from Alexandria describes an optimized crystal structure of KTaSe2O8. The functional is PBE-GGA.

Values from the calculation:
As for the total energy: -6.284 eV/atom. As for the raw formation energy: -1319 meV per atom.

Unit cell a=5.676 b=5.676 c=8.021 alpha=92.98 beta=92.98 gamma=58.81
Positions (direct):
K: 0.000 0.000 0.000
Ta: 0.000 0.000 0.500
Se: 0.349 0.349 0.299
Se: 0.651 0.651 0.701
O: 0.185 0.185 0.450
O: 0.223 0.710 0.319
O: 0.290 0.777 0.681
O: 0.295 0.295 0.102
O: 0.705 0.705 0.898
O: 0.710 0.223 0.319
O: 0.777 0.290 0.681
O: 0.815 0.815 0.550